VASP calculation (PBE) on a relaxed Ba10Sb4O3 crystal.

Cell and atoms, written as POSCAR:
```
Ba10Sb4O3
1.0
-2.565 -0.406 -4.761
2.943 -4.390 -1.212
-14.077 -9.252 11.462
Ba Sb O
10 4 3
Direct
0.138 0.638 0.276 Ba
0.069 0.069 0.137 Ba
0.638 0.138 0.276 Ba
0.862 0.362 0.724 Ba
0.362 0.862 0.724 Ba
0.931 0.931 0.863 Ba
0.214 0.214 0.428 Ba
0.786 0.786 0.572 Ba
0.000 0.500 0.000 Ba
0.500 0.000 0.000 Ba
0.568 0.568 0.136 Sb
0.432 0.432 0.864 Sb
0.302 0.302 0.604 Sb
0.698 0.698 0.396 Sb
0.138 0.138 0.276 O
0.862 0.862 0.724 O
0.000 0.000 0.000 O
```

Computed properties:
Formation energy from raw total energies = -34.43 kcal/mol of atoms
Crystal system = tetragonal